Record 1
VASP calculation (GGA-PBE) on La5As4S after structural relaxation.

Unit cell a=4.3426 b=6.1352 c=21.6744 alpha=90.00 beta=90.00 gamma=90.00
Closest atoms and distances in Å follow each position.
Space group Immm (No. 71)
Symmetry-distinct sites (fractional):
La: 0.0000 0.0000 0.0000 (multiplicity 2)  4 As 3.05, 2 S 3.07
La: 0.0000 0.0000 0.2004 (multiplicity 4)  6 As 3.07-3.09
La: 0.0000 0.0000 0.4003 (multiplicity 4)  4 As 3.04-3.07, 2 S 3.06
As: 0.0000 0.5000 0.1979 (multiplicity 4)  6 La 3.04-3.09
As: 0.0000 0.5000 0.4013 (multiplicity 4)  6 La 3.05-3.09
S: 0.0000 0.5000 0.0000 (multiplicity 2)  6 La 3.06-3.07

Properties
E_form (uncorrected) ... -17.2 eV per formula unit
Total moment ... 0.000 μB per atom
DOS(E_F) ... 3.2 states/eV/f.u.
Calculated volume ... 577.47 Å³/cell
Energy above the lowest structure with this stoichiometry ... 0.0 meV/atom

---

Record 2
VASP calculation (GGA-PBE) on Ac2PrNdSm2 after structural relaxation.

Unit cell a=7.4061 b=5.9844 c=10.2755 alpha=90.00 beta=90.00 gamma=90.00
Closest atoms and distances in Å follow each position.
Space group Pmma (No. 51)
Symmetry-distinct sites (fractional):
Ac: 0.0000 0.0000 0.0000 (multiplicity 2)  6 Ac 3.70-3.93, 2 Pr 3.90, 6 Sm 3.95-3.99
Ac: 0.2500 0.5000 0.1707 (multiplicity 2)  5 Sm 3.48-3.70, 2 Nd 3.86
Pr: 0.2500 0.0000 0.6660 (multiplicity 2)  3 Sm 3.31-3.41
Nd: 0.0000 0.5000 0.5000 (multiplicity 2)  2 Nd 3.70, 6 Sm 3.82-3.87, 2 Ac 3.86, 4 Pr 3.91
Sm: 0.2500 0.0000 0.3442 (multiplicity 2)  1 Pr 3.31, 2 Ac 3.48
Sm: 0.2500 0.5000 0.8247 (multiplicity 2)  2 Pr 3.41, 3 Ac 3.55-3.70, 2 Nd 3.82

Properties
Calculated total energy ... -53.5 eV per cell
Total moment ... 0.000 μB per atom
DOS(E_F) ... 9.2 states/eV/f.u.
Calculated volume ... 455.42 Å³/cell

---

> Which of these has the lowest DOS(E_F)?

La5As4S